# VMoOs2, relaxed, DFT PBE-GGA
data_VMoOs2
_symmetry_space_group_name_H-M 'P 1'
_symmetry_Int_Tables_number 1
_cell_length_a 3.825
_cell_length_b 3.902
_cell_length_c 3.902
_cell_angle_alpha 90.00
_cell_angle_beta 90.00
_cell_angle_gamma 90.00
loop_
_symmetry_equiv_pos_as_xyz
'x,y,z'
loop_
_atom_site_label
_atom_site_fract_x
_atom_site_fract_y
_atom_site_fract_z
Os1 0.000 0.500 0.000
Os2 0.000 0.000 0.500
Mo1 0.500 0.000 0.000
V1 0.500 0.500 0.500
# - Crystal system: tetragonal
# - Spin magnetization: 0.0000 μB/atom
# - Symmetry: P4/mmm, No. 123
# - E_form: -0.011 eV per atom
# - Total DFT energy (no corrections): -10.613 eV/atom